VASP calculation (PBE) on a relaxed structure of Ce2Fe3Tc.

* symmetry: C2/m (12)
* formation enthalpy at 0 K: -0.067 eV per atom
* total moment: 9.307 μB/cell

Lattice parameters (Å, degrees): 8.7613 5.0423 5.3447 90.00 123.17 90.00
Positions (direct):
Ce 0.1258 0.0000 0.3766
Ce 0.3742 0.5000 0.6234
Ce 0.6258 0.5000 0.3766
Ce 0.8742 0.0000 0.6234
Fe 0.0000 0.5000 0.0000
Fe 0.2500 0.2500 0.0000
Fe 0.2500 0.7500 0.0000
Fe 0.5000 0.0000 0.0000
Fe 0.7500 0.2500 0.0000
Fe 0.7500 0.7500 0.0000
Tc 0.0000 0.5000 0.5000
Tc 0.5000 0.0000 0.5000